Entry from Alexandria via LeMat-Bulk: an optimized crystal structure of MoAs2RuSe (PBE).

Results
Theoretical density ... 6.23 g/cm3
DFT total energy ... -5.538 eV/atom
Formation energy without anion corrections ... 1.040 eV/atom
Excess energy over the best structure of this formula in the dataset ... 2.54 kcal/mol of atoms
Space-group type ... P4/mmm (123)

abc: 4.8497 4.8497 4.8243
angles: 90.00 90.00 90.00
Positions (direct):
Mo 0.0000 0.0000 0.0000
As 0.0000 0.5000 0.0000
As 0.5000 0.0000 0.0000
Ru 0.5000 0.5000 0.5000
Se 0.0000 0.0000 0.5000